DFT (PBE) results for a relaxed structure of CaTi8S16.

Cell: 6.8315 6.8315 13.2664 Å, 90.00 90.00 120.00°
Space group P-3m1 (No. 164)
One atom of each set of equivalent atoms:
Ca: 0.0000 0.0000 0.0000 (multiplicity 1)
Ti: 0.0000 0.0000 0.2670 (multiplicity 2)
Ti: 0.0042 0.5021 0.2628 (multiplicity 6)
S: 0.1667 0.3333 0.8471 (multiplicity 6)
S: 0.1672 0.3343 0.3702 (multiplicity 6)
S: 0.3333 0.6667 0.1531 (multiplicity 2)
S: 0.3333 0.6667 0.6332 (multiplicity 2)

Results
The value obtained for the raw total energy is -6.64 eV per atom.


DFT (PBE) results for a relaxed structure of Ba2Cu3Sn4Pd.

Cell: 4.743 4.743 10.899 Å, 90.00 90.00 90.00°
Space group P-4m2 (No. 115)
One atom of each set of equivalent atoms:
Ba: 0.000 0.500 0.243 (multiplicity 2)
Cu: 0.000 0.000 0.000 (multiplicity 1)
Cu: 0.000 0.500 0.629 (multiplicity 2)
Sn: 0.000 0.000 0.500 (multiplicity 1)
Sn: 0.000 0.500 0.881 (multiplicity 2)
Sn: 0.500 0.500 0.500 (multiplicity 1)
Pd: 0.500 0.500 0.000 (multiplicity 1)

Results
The value obtained for the raw total energy is -4.15 eV per atom.


DFT (PBE) results for a relaxed structure of Cd4CuCl.

Cell: 8.270 8.270 8.270 Å, 90.00 90.00 90.00°
Space group F-43m (No. 216)
One atom of each set of equivalent atoms:
Cd: 0.124 0.124 0.376 (multiplicity 16)
Cu: 0.250 0.250 0.750 (multiplicity 4)
Cl: 0.000 0.000 0.000 (multiplicity 4)

Results
The value obtained for the raw total energy is -1.39 eV per atom.